Density functional theory data (PBE) for a geometry-optimized TlInBi2Pb4 structure.

**Formation enthalpy at 0 K**: 0.121 eV/atom
**Space-group type**: P2/m (10)
**DOS at the Fermi energy**: 3.528 states/eV/cell
**Density**: 9.6 g/cm³

Structure (CIF):
```
data_TlInBi2Pb4
_chemical_formula_sum 'Tl1 In1 Bi2 Pb4'
_symmetry_space_group_name_H-M 'P 1'
_symmetry_Int_Tables_number 1
_cell_length_a 7.6656
_cell_length_b 4.6936
_cell_length_c 8.0245
_cell_angle_alpha 90.00
_cell_angle_beta 110.90
_cell_angle_gamma 90.00
loop_
_symmetry_equiv_pos_as_xyz
'x,y,z'
loop_
_atom_site_label
_atom_site_type_symbol
_atom_site_fract_x
_atom_site_fract_y
_atom_site_fract_z
Tl1 Tl 0.0000 0.0000 0.0000
In1 In 0.0000 0.5000 0.5000
Bi1 Bi 0.5000 0.0000 0.5000
Bi2 Bi 0.5000 0.5000 0.0000
Pb1 Pb 0.2436 0.0000 0.7423
Pb2 Pb 0.2462 0.5000 0.2539
Pb3 Pb 0.7538 0.5000 0.7461
Pb4 Pb 0.7564 0.0000 0.2577
```